SrMnAl | meta-GGA SCAN | PBEsol geometry

Output
N(E_F) ... 1.667 states/eV per cell
ΔH_f (0 K) ... 244 meV/atom
VASP energy ... -15.8503 eV per atom
ρ ... 3.59 g/cm³
Space-group type ... No. 216
M_tot ... 1.314 μB per atom

a b c (Å): 4.8028 4.8028 4.8028
angles (deg): 60.00 60.00 60.00
Closest atoms and distances in Å follow each position.
Atoms (fractional coordinates):
Sr1 0.0000 0.0000 0.0000  4 Mn 2.94
Mn1 0.2500 0.2500 0.2500  4 Al 2.94, 4 Sr 2.94
Al1 0.5000 0.5000 0.5000  4 Mn 2.94